(1)
A relaxed KDyPbCl6 crystal, computed with PBE-GGA.

As for the total magnetization: 0.00 μB per formula unit. As for the uncorrected formation energy: -1.8731 eV per atom. The density of states at the Fermi level comes out at 0.000 states/eV/atom.

The space group is P-31c (No. 163) and the conventional cell measures 7.3156, 7.3156 and 13.4078 Å, with angles of 90.00, 90.00 and 120.00 degrees. Symmetry generates all atoms from K at (0.0000, 0.0000, 0.0000), Dy at (0.3333, 0.6667, 0.2500), Pb at (0.3333, 0.6667, 0.7500) and Cl at (0.0269, 0.3778, 0.1365).

(2)
A relaxed Dy2YTh crystal, computed with PBE-GGA.

As for the total magnetization: 0.00 μB per formula unit. Its polymorph energy (0 for the lowest one) is 0.08 eV/f.u. The value obtained for the formation energy is 0.02 eV/atom. The density of states at the Fermi level comes out at 1.527 states/eV/atom.

The space group is R-3m (No. 166, hexagonal axes) and the conventional cell measures 3.5720, 3.5720 and 34.6789 Å, with angles of 90.00, 90.00 and 120.00 degrees. Symmetry generates all atoms from Dy at (0.0000, 0.0000, 0.2485), Y at (0.0000, 0.0000, 0.0000) and Th at (0.0000, 0.0000, 0.5000).